CoP2ClF | GGA+U | relaxed

a = 4.034 Å, b = 4.034 Å, c = 5.653 Å
α = 90.00°, β = 90.00°, γ = 90.00°
Atoms (fractional coordinates):
Co 0.000 0.000 0.000
P 0.000 0.500 0.500
P 0.500 0.000 0.500
Cl 0.500 0.500 0.000
F 0.500 0.500 0.500

Calculated values
Magnetic moment ... 2.5 μB per formula unit
DOS(E_F) ... 3.008 states/eV/f.u.
Distance to the lowest polymorph of the same formula ... 270 kJ/mol of formula units